Computed, not measured: a relaxed structure of RbBi3Au3 at the PBE-GGA level of DFT.

## Properties
N(E_F)	0.462	states/eV/atom
calculated formation energy	-98	meV per atom
SG	Pm-3n (223)
energy above the lowest structure with this stoichiometry	21	meV/atom

Cell lengths 7.9586, 7.9586, 7.9586 Å; angles 90.00, 90.00, 90.00 degrees
With the nearest neighbours (Å) after each atom.
Atoms (fractional coordinates):
Rb  0.0000  0.0000  0.0000  12 Bi 4.45, 12 Au 4.45
Rb  0.5000  0.5000  0.5000  12 Bi 4.45, 12 Au 4.45
Bi  0.0000  0.2500  0.5000  4 Au 2.81
Bi  0.0000  0.7500  0.5000  4 Au 2.81
Bi  0.2500  0.5000  0.0000  4 Au 2.81
Bi  0.5000  0.0000  0.2500  4 Au 2.81
Bi  0.5000  0.0000  0.7500  4 Au 2.81
Bi  0.7500  0.5000  0.0000  4 Au 2.81
Au  0.0000  0.5000  0.2500  4 Bi 2.81
Au  0.0000  0.5000  0.7500  4 Bi 2.81
Au  0.2500  0.0000  0.5000  4 Bi 2.81
Au  0.5000  0.2500  0.0000  4 Bi 2.81
Au  0.5000  0.7500  0.0000  4 Bi 2.81
Au  0.7500  0.0000  0.5000  4 Bi 2.81